Record 1
LaAs2Rh after structural relaxation, computed with PBE.

Calculated formation energy, meV per atom: -521
Magnetic moment, μB per formula unit: 0.002
DFT total energy, eV/cell: -94.6

a b c (Å): 6.8794 6.8794 6.8794
angles (deg): 90.00 90.00 90.00
Space group Fm-3m (No. 225)
Inequivalent atoms, fractional coordinates:
La 0.0000 0.0000 0.0000 [4 per cell]
As 0.2500 0.2500 0.2500 [8 per cell]
Rh 0.0000 0.0000 0.5000 [4 per cell]


Record 2
Ac5Th3H12 after structural relaxation, computed with PBE.

Magnetic moment, μB per formula unit: 0.000
DFT total energy, eV/cell: -720.1

a b c (Å): 14.1500 14.1500 14.1500
angles (deg): 90.00 90.00 90.00
Space group Ia-3d (No. 230)
Inequivalent atoms, fractional coordinates:
Ac 0.0000 0.0000 0.0000 [16 per cell]
Ac 0.0000 0.2500 0.3750 [24 per cell]
Th 0.0000 0.2500 0.1250 [24 per cell]
H 0.0071 0.0787 0.1570 [96 per cell]


Record 3
La6Si2S3Br after structural relaxation, computed with PBE.

Magnetic moment, μB per formula unit: 0.000
Formation energy (no corrections), eV/atom: -1.5643
DFT total energy, eV/cell: -146.5

a b c (Å): 18.5894 4.2713 8.6008
angles (deg): 90.00 102.51 90.00
Space group C2/m (No. 12)
Inequivalent atoms, fractional coordinates:
La 0.0018 0.0000 0.2743 [4 per cell]
La 0.1670 0.5000 0.5834 [4 per cell]
La 0.1743 0.5000 0.0913 [4 per cell]
Si 0.1643 0.0000 0.3287 [4 per cell]
S 0.0000 0.5000 0.5000 [2 per cell]
S 0.1637 0.0000 0.8363 [4 per cell]
Br 0.0000 0.5000 0.0000 [2 per cell]


Record 4
BaMg2Zr after structural relaxation, computed with PBE.

Energy above the most stable polymorph in this dataset, meV/atom: 189
Calculated formation energy, meV per atom: 325
Magnetic moment, μB per formula unit: 0.001
DFT total energy, eV/cell: -24.7

a b c (Å): 3.4596 5.8094 11.4313
angles (deg): 90.00 90.00 90.00
Space group Imm2 (No. 44)
Inequivalent atoms, fractional coordinates:
Ba 0.0000 0.0000 0.0000 [2 per cell]
Mg 0.0000 0.0000 0.4950 [2 per cell]
Mg 0.0000 0.5000 0.7728 [2 per cell]
Zr 0.0000 0.5000 0.2224 [2 per cell]


Record 5
Hg2OsW after structural relaxation, computed with PBE.

Energy above the most stable polymorph in this dataset, meV/atom: 514
Calculated formation energy, meV per atom: 920
Magnetic moment, μB per formula unit: 0.000
DFT total energy, eV/cell: -21.1

a b c (Å): 3.0633 5.0398 4.7177
angles (deg): 90.00 90.30 90.00
Space group P2/m (No. 10)
Inequivalent atoms, fractional coordinates:
Hg 0.2445 0.0000 0.2495 [2 per cell]
Os 0.0000 0.5000 0.0000 [1 per cell]
W 0.5000 0.5000 0.5000 [1 per cell]


Record 6
Ba2NiBiW after structural relaxation, computed with PBE.

Calculated formation energy, meV per atom: 832
Magnetic moment, μB per formula unit: 4.772
DFT total energy, eV/cell: -22.3

a b c (Å): 6.0029 6.0029 4.8884
angles (deg): 90.00 90.00 90.00
Space group P4/mmm (No. 123)
Inequivalent atoms, fractional coordinates:
Ba 0.0000 0.5000 0.0000 [2 per cell]
Ni 0.0000 0.0000 0.0000 [1 per cell]
Bi 0.0000 0.0000 0.5000 [1 per cell]
W 0.5000 0.5000 0.5000 [1 per cell]


Record 7
LaMgCu after structural relaxation, computed with PBE.

Calculated formation energy, meV per atom: -167
Magnetic moment, μB per formula unit: 0.000
DFT total energy, eV/cell: -44.5

a b c (Å): 12.5052 4.4399 5.4368
angles (deg): 90.00 100.84 90.00
Space group C2/m (No. 12)
Inequivalent atoms, fractional coordinates:
La 0.1275 0.0000 0.3023 [4 per cell]
Mg 0.0889 0.5000 0.7867 [4 per cell]
Cu 0.2242 0.0000 0.8603 [4 per cell]


Question: What is the magnetic moment in the second record?
Answer: 0.000 μB per formula unit